(1)
HfCdAg: optimized geometry, PBE.

abc: 5.392 5.392 6.301
angles: 111.11 111.11 45.78
Element x y z (fractional)
Hf 0.631 0.981 0.716
Hf 0.960 0.310 0.866
Cd 0.289 0.638 0.527
Cd 0.302 0.652 0.055
Ag 0.628 0.978 0.209
Ag 0.963 0.312 0.372

Properties
For the calculated volume, the calculation gives 120.84 Å³ per cell. As for the crystal system: monoclinic. The formation energy comes out at 0.21 eV per formula unit.

(2)
HfCdAg: optimized geometry, PBE.

abc: 4.796 4.796 6.181
angles: 90.00 90.00 120.00
Element x y z (fractional)
Ag 0.000 0.000 0.739
Ag 0.000 0.000 0.261
Cd 0.333 0.667 0.879
Cd 0.667 0.333 0.121
Hf 0.667 0.333 0.609
Hf 0.333 0.667 0.391

Properties
For the calculated volume, the calculation gives 123.12 Å³ per cell. As for the crystal system: trigonal. The formation energy comes out at 0.38 eV per formula unit.

(3)
HfCd2Ag2: optimized geometry, PBE.

abc: 8.200 8.200 2.988
angles: 90.00 90.00 90.00
Element x y z (fractional)
Hf 0.000 0.000 0.000
Hf 0.500 0.500 0.000
Ag 0.172 0.672 0.500
Ag 0.672 0.828 0.500
Ag 0.828 0.328 0.500
Ag 0.328 0.172 0.500
Cd 0.373 0.873 0.000
Cd 0.873 0.627 0.000
Cd 0.627 0.127 0.000
Cd 0.127 0.373 0.000

Properties
For the calculated volume, the calculation gives 200.89 Å³ per cell. As for the crystal system: tetragonal. The formation energy comes out at 0.69 eV per formula unit.

(4)
Hf2CdAg2: optimized geometry, PBE.

abc: 8.350 8.350 3.041
angles: 90.00 90.00 90.00
Element x y z (fractional)
Hf 0.333 0.833 0.000
Hf 0.833 0.667 0.000
Hf 0.667 0.167 0.000
Hf 0.167 0.333 0.000
Ag 0.127 0.627 0.500
Ag 0.627 0.873 0.500
Ag 0.873 0.373 0.500
Ag 0.373 0.127 0.500
Cd 0.000 0.000 0.000
Cd 0.500 0.500 0.000

Properties
For the calculated volume, the calculation gives 212.05 Å³ per cell. As for the crystal system: tetragonal. The formation energy comes out at 1.30 eV per formula unit.

(5)
Hf2CdAg2: optimized geometry, PBE.

abc: 7.537 7.537 3.594
angles: 90.00 90.00 90.00
Element x y z (fractional)
Hf 0.168 0.668 0.500
Hf 0.668 0.832 0.500
Hf 0.832 0.332 0.500
Hf 0.332 0.168 0.500
Ag 0.370 0.870 0.000
Ag 0.870 0.630 0.000
Ag 0.630 0.130 0.000
Ag 0.130 0.370 0.000
Cd 0.000 0.000 0.000
Cd 0.500 0.500 0.000

Properties
For the calculated volume, the calculation gives 204.17 Å³ per cell. As for the crystal system: tetragonal. The formation energy comes out at 0.49 eV per formula unit.

(6)
Hf2CdAgI: optimized geometry, PBE.

abc: 5.239 5.152 5.239
angles: 90.00 90.00 90.00
Element x y z (fractional)
I 0.500 0.500 0.500
Hf 0.000 0.000 0.500
Hf 0.500 0.000 0.000
Ag 0.000 0.000 0.000
Cd 0.000 0.500 0.000

Properties
For the calculated volume, the calculation gives 141.41 Å³ per cell. As for the crystal system: tetragonal. Its uncorrected formation energy is 834 meV per atom.

(7)
HfCdInAg: optimized geometry, PBE.

abc: 2.971 2.971 10.467
angles: 90.00 90.00 90.00
Element x y z (fractional)
Hf 0.000 0.000 0.491
Cd 0.000 0.000 0.776
In 0.000 0.000 0.207
Ag 0.500 0.500 0.990

Properties
For the calculated volume, the calculation gives 92.40 Å³ per cell. As for the crystal system: tetragonal. The formation energy comes out at 1.46 eV per formula unit.

(8)
HfCdNiAg: optimized geometry, PBE.

abc: 4.614 4.614 4.614
angles: 60.00 60.00 60.00
Element x y z (fractional)
Ni 0.000 0.000 0.000
Hf 0.250 0.250 0.250
Ag 0.500 0.500 0.500
Cd 0.750 0.750 0.750

Properties
For the calculated volume, the calculation gives 69.45 Å³ per cell. As for the crystal system: cubic. The formation energy comes out at -0.28 eV per formula unit.

(9)
Hf2CdAgPb: optimized geometry, PBE.

abc: 5.166 5.054 5.166
angles: 90.00 90.00 90.00
Element x y z (fractional)
Pb 0.500 0.500 0.500
Hf 0.000 0.000 0.500
Hf 0.500 0.000 0.000
Ag 0.000 0.000 0.000
Cd 0.000 0.500 0.000

Properties
For the calculated volume, the calculation gives 134.87 Å³ per cell. As for the crystal system: tetragonal. The formation energy comes out at 3.60 eV per formula unit.

(10)
HfCdAgPt: optimized geometry, PBE.

abc: 4.704 4.704 4.704
angles: 60.00 60.00 60.00
Element x y z (fractional)
Hf 0.500 0.500 0.500
Ag 0.250 0.250 0.250
Pt 0.750 0.750 0.750
Cd 0.000 0.000 0.000

Properties
For the calculated volume, the calculation gives 73.61 Å³ per cell. As for the crystal system: cubic. The formation energy comes out at -1.66 eV per formula unit.

(11)
Rb2HfCdAg: optimized geometry, PBE.

abc: 6.467 5.397 6.467
angles: 90.00 90.00 90.00
Last column: magnetic moment on the atom in μB.
Element x y z (fractional)
Hf 0.500 0.500 0.500  1.38
Rb 0.000 0.000 0.500  0.03
Rb 0.500 0.000 0.000  0.02
Ag 0.000 0.000 0.000  0.01
Cd 0.000 0.500 0.000  0.00

Properties
For the calculated volume, the calculation gives 225.70 Å³ per cell. As for the crystal system: tetragonal. The formation energy comes out at 5.32 eV per formula unit.

(12)
HfCd2AgRh: optimized geometry, PBE.

abc: 4.963 5.015 4.963
angles: 90.00 90.00 90.00
Element x y z (fractional)
Rh 0.000 0.000 0.000
Hf 0.500 0.500 0.500
Ag 0.000 0.500 0.000
Cd 0.000 0.000 0.500
Cd 0.500 0.000 0.000

Properties
For the calculated volume, the calculation gives 123.53 Å³ per cell. As for the crystal system: tetragonal. The formation energy comes out at 4.27 eV per formula unit.

(13)
HfCdAgRh: optimized geometry, PBE.

abc: 4.670 4.670 4.670
angles: 60.00 60.00 60.00
Element x y z (fractional)
Rh 0.500 0.500 0.500
Hf 0.250 0.250 0.250
Ag 0.000 0.000 0.000
Cd 0.750 0.750 0.750

Properties
For the calculated volume, the calculation gives 72.02 Å³ per cell. As for the crystal system: cubic. The formation energy comes out at -1.06 eV per formula unit.

(14)
HfScCdAg2: optimized geometry, PBE.

abc: 5.066 5.066 5.066
angles: 90.00 90.00 90.00
Element x y z (fractional)
Sc 0.000 0.000 0.000
Hf 0.000 0.500 0.000
Ag 0.000 0.000 0.500
Ag 0.500 0.000 0.000
Cd 0.500 0.500 0.500

Properties
For the calculated volume, the calculation gives 130.00 Å³ per cell. As for the crystal system: tetragonal. The formation energy comes out at 5.07 eV per formula unit.

(15)
HfScCd2Ag: optimized geometry, PBE.

abc: 5.064 5.233 5.064
angles: 90.00 90.00 90.00
Last column: magnetic moment on the atom in μB.
Element x y z (fractional)
Sc 0.500 0.500 0.500  0.53
Hf 0.000 0.500 0.000  0.67
Ag 0.000 0.000 0.000  0.07
Cd 0.000 0.000 0.500  0.01
Cd 0.500 0.000 0.000  0.01

Properties
For the calculated volume, the calculation gives 134.21 Å³ per cell. As for the crystal system: tetragonal. The formation energy comes out at 3.20 eV per formula unit.

(16)
SrHf2CdAg: optimized geometry, PBE.

abc: 5.188 5.845 5.188
angles: 90.00 90.00 90.00
Element x y z (fractional)
Sr 0.000 0.500 0.000
Hf 0.000 0.000 0.500
Hf 0.500 0.000 0.000
Ag 0.000 0.000 0.000
Cd 0.500 0.500 0.500

Properties
For the calculated volume, the calculation gives 157.34 Å³ per cell. As for the crystal system: tetragonal. The formation energy comes out at 4.13 eV per formula unit.

(17)
HfCd2TcAg: optimized geometry, PBE.

abc: 4.960 5.209 4.960
angles: 90.00 90.00 90.00
Last column: magnetic moment on the atom in μB.
Element x y z (fractional)
Hf 0.000 0.500 0.000  -0.44
Tc 0.500 0.500 0.500  2.77
Ag 0.000 0.000 0.000  -0.03
Cd 0.000 0.000 0.500  -0.01
Cd 0.500 0.000 0.000  0.00

Properties
For the calculated volume, the calculation gives 128.15 Å³ per cell. As for the crystal system: tetragonal. The formation energy comes out at 6.37 eV per formula unit.

(18)
HfTiCdAg: optimized geometry, PBE.

abc: 3.109 3.109 8.079
angles: 90.00 90.00 90.00
Element x y z (fractional)
Hf 0.000 0.000 0.091
Ti 0.500 0.500 0.331
Cd 0.500 0.500 0.804
Ag 0.000 0.000 0.558

Properties
For the calculated volume, the calculation gives 78.11 Å³ per cell. As for the crystal system: tetragonal. The formation energy comes out at -0.32 eV per formula unit.

(19)
HfV2CdAg: optimized geometry, PBE.

abc: 4.946 5.203 4.946
angles: 90.00 90.00 90.00
Last column: magnetic moment on the atom in μB.
Element x y z (fractional)
V 0.000 0.000 0.500  2.50
V 0.500 0.000 0.000  2.56
Hf 0.000 0.500 0.000  -0.22
Ag 0.500 0.500 0.500  0.01
Cd 0.000 0.000 0.000  0.04

Properties
For the calculated volume, the calculation gives 127.27 Å³ per cell. As for the crystal system: tetragonal. The formation energy comes out at 7.96 eV per formula unit.

(20)
HfZrCdAg: optimized geometry, PBE.

abc: 4.907 4.907 4.907
angles: 60.00 60.00 60.00
Element x y z (fractional)
Hf 0.250 0.250 0.250
Zr 0.750 0.750 0.750
Ag 0.500 0.500 0.500
Cd 0.000 0.000 0.000

Properties
For the calculated volume, the calculation gives 83.52 Å³ per cell. As for the crystal system: cubic. The formation energy comes out at 0.23 eV per formula unit.

(21)
HfZrCdAg: optimized geometry, PBE.

abc: 3.178 3.176 9.854
angles: 89.99 89.98 60.27
Element x y z (fractional)
Hf 0.869 0.869 0.317
Zr 0.205 0.203 0.069
Cd 0.867 0.868 0.803
Ag 0.531 0.533 0.560

Properties
For the calculated volume, the calculation gives 86.35 Å³ per cell. As for the crystal system: monoclinic. The formation energy comes out at 0.02 eV per formula unit.

(22)
CdAg2Hg2: optimized geometry, PBE.

abc: 3.970 3.970 7.800
angles: 75.26 75.26 90.00
Element x y z (fractional)
Hg 0.400 0.400 0.201
Hg 0.600 0.600 0.799
Ag 0.750 0.250 0.500
Ag 0.250 0.750 0.500
Cd 0.000 0.000 0.000

Properties
For the calculated volume, the calculation gives 114.70 Å³ per cell. As for the crystal system: tetragonal. The formation energy comes out at 0.58 eV per formula unit.

(23)
Cd5Ag2Hg2: optimized geometry, PBE.

abc: 7.711 7.484 8.110
angles: 117.48 90.00 90.00
Element x y z (fractional)
Cd 0.000 0.000 0.000
Cd 0.500 0.500 0.000
Cd 0.833 0.792 0.261
Cd 0.167 0.469 0.261
Cd 0.333 0.969 0.261
Cd 0.667 0.292 0.261
Cd 0.167 0.208 0.739
Cd 0.833 0.531 0.739
Cd 0.667 0.031 0.739
Cd 0.333 0.708 0.739
Ag 0.634 0.866 0.000
Ag 0.366 0.134 0.000
Ag 0.134 0.634 0.000
Ag 0.866 0.366 0.000
Hg 0.000 0.208 0.416
Hg 0.500 0.708 0.416
Hg 0.000 0.792 0.584
Hg 0.500 0.292 0.584

Properties
For the calculated volume, the calculation gives 415.25 Å³ per cell. As for the crystal system: orthorhombic. The formation energy comes out at 0.41 eV per formula unit.

(24)
Cd12Ag2Hg5: optimized geometry, PBE.

abc: 8.798 8.033 7.438
angles: 92.12 90.00 123.21
Element x y z (fractional)
Cd 0.907 0.814 0.099
Cd 0.037 0.677 0.763
Cd 0.640 0.677 0.763
Cd 0.166 0.770 0.340
Cd 0.604 0.770 0.340
Cd 0.448 0.896 0.681
Cd 0.552 0.104 0.319
Cd 0.834 0.230 0.660
Cd 0.396 0.230 0.660
Cd 0.963 0.323 0.237
Cd 0.360 0.323 0.237
Cd 0.093 0.186 0.901
Ag 0.697 0.000 0.000
Ag 0.303 0.000 0.000
Hg 0.237 0.475 0.551
Hg 0.311 0.621 0.021
Hg 0.000 0.000 0.500
Hg 0.689 0.379 0.979
Hg 0.763 0.525 0.449

Properties
For the calculated volume, the calculation gives 439.41 Å³ per cell. As for the crystal system: monoclinic. The formation energy comes out at 0.43 eV per formula unit.

(25)
Cd4AgHg5: optimized geometry, PBE.

abc: 3.380 9.586 10.953
angles: 134.70 98.88 90.00
Element x y z (fractional)
Cd 0.324 0.556 0.648
Cd 0.979 0.719 0.958
Cd 0.676 0.444 0.352
Cd 0.021 0.281 0.042
Ag 0.500 0.000 0.000
Hg 0.816 0.206 0.632
Hg 0.840 0.883 0.679
Hg 0.160 0.117 0.321
Hg 0.500 0.500 0.000
Hg 0.184 0.794 0.368

Properties
For the calculated volume, the calculation gives 246.22 Å³ per cell. As for the crystal system: monoclinic. The formation energy comes out at 0.44 eV per formula unit.